Entry 1:
Material: HfPaW
Method: DFT, PBE-GGA
State: optimized geometry

abc: 5.7541 5.7541 40.6389
angles: 90.00 90.00 120.00
Space group R-3m (No. 166, hexagonal axes)
Asymmetric unit:
Hf: 0.0000 0.0000 0.0362
Hf: 0.0000 0.0000 0.1806
Hf: 0.0000 0.0000 0.2729
Pa: 0.0134 0.5067 0.7762
W: 0.0000 0.0000 0.3841
W: 0.0000 0.0000 0.5000
W: 0.0000 0.5000 0.0000

Entry 2:
Material: HfPa2W
Method: DFT, PBE-GGA
State: optimized geometry

abc: 3.2311 3.2311 29.9051
angles: 90.00 90.00 120.00
Space group R-3m (No. 166, hexagonal axes)
Asymmetric unit:
Hf: 0.0000 0.0000 0.0000
Pa: 0.0000 0.0000 0.2438
W: 0.0000 0.0000 0.5000

Number 1: theoretical density 15.22 Mg/m³, ΔH_f (0 K) 25.4 kJ/mol of atoms. Number 2: theoretical density 15.19 Mg/m³, ΔH_f (0 K) 41.2 kJ/mol of atoms.